1.
DyHo3S3 (PBE, optimized geometry); DOS at the Fermi energy = 2.6 states/eV/f.u.; total magnetization = 0.00 μB per cell; raw formation energy = -1.683 eV per atom
1.0
5.431 0.000 0.000
0.000 10.915 0.000
0.000 0.000 10.915
S Ho Dy
12 12 4
Direct
0.000 0.126 0.874
0.500 0.126 0.626
0.500 0.874 0.374
0.000 0.626 0.874
0.500 0.374 0.374
0.500 0.626 0.626
0.000 0.374 0.126
0.000 0.126 0.374
0.000 0.874 0.626
0.500 0.374 0.874
0.500 0.626 0.126
0.000 0.874 0.126
0.500 0.380 0.127
0.000 0.373 0.880
0.500 0.127 0.873
0.500 0.873 0.620
0.500 0.873 0.127
0.000 0.880 0.373
0.000 0.627 0.627
0.500 0.620 0.873
0.000 0.627 0.120
0.500 0.127 0.380
0.000 0.373 0.373
0.000 0.120 0.627
0.000 0.879 0.878
0.000 0.121 0.122
0.500 0.379 0.622
0.500 0.621 0.378


2.
Dy6HoS8 (PBE, optimized geometry); DOS at the Fermi energy = 6.2 states/eV/f.u.; total magnetization = 0.00 μB per cell; raw formation energy = -2.052 eV per atom
1.0
6.749 0.000 3.896
2.250 6.363 3.896
0.000 0.000 7.793
S Dy Ho
8 6 1
Direct
0.250 0.750 0.750
0.750 0.250 0.250
0.250 0.250 0.750
0.750 0.750 0.750
0.250 0.750 0.250
0.750 0.250 0.750
0.750 0.750 0.250
0.250 0.250 0.250
0.000 0.000 0.500
0.000 0.500 0.500
0.500 0.000 0.000
0.500 0.500 0.000
0.000 0.500 0.000
0.500 0.000 0.500
0.000 0.000 0.000


3.
Dy2HoS4 (PBE, optimized geometry); DOS at the Fermi energy = 2.1 states/eV/f.u.; total magnetization = 0.00 μB per cell; raw formation energy = -2.044 eV per atom
1.0
-0.760 2.857 2.376
-3.940 0.911 -5.382
-9.383 -7.196 5.650
Dy S Ho
4 8 2
Direct
0.129 0.259 0.430
0.871 0.741 0.930
0.129 0.259 0.070
0.871 0.741 0.570
0.223 0.446 0.623
0.223 0.446 0.877
0.500 0.000 0.000
0.777 0.554 0.377
0.500 0.000 0.500
0.777 0.554 0.123
0.974 0.949 0.750
0.026 0.051 0.250
0.373 0.746 0.250
0.627 0.254 0.750


4.
Dy2Ho3S6 (PBE, optimized geometry); DOS at the Fermi energy = 3.9 states/eV/f.u.; total magnetization = 0.00 μB per cell; raw formation energy = -2.071 eV per atom
1.0
-3.490 -1.999 5.419
-5.856 -3.225 -0.760
1.902 -6.205 1.727
S Ho Dy
6 3 2
Direct
0.251 0.000 0.253
0.416 0.667 0.753
0.749 0.000 0.747
0.584 0.333 0.247
0.918 0.667 0.247
0.082 0.333 0.753
0.337 0.326 0.000
0.000 0.000 0.000
0.663 0.674 0.000
0.165 0.669 0.500
0.835 0.331 0.500


5.
Dy3HoS4 (PBE, optimized geometry); DOS at the Fermi energy = 5.0 states/eV/f.u.; total magnetization = 0.00 μB per cell; raw formation energy = -1.986 eV per atom
1.0
-0.614 -3.783 -0.526
1.524 0.665 -6.566
5.654 -1.398 3.458
Dy S Ho
3 4 1
Direct
0.000 0.000 0.500
0.000 0.500 0.000
0.500 0.500 0.500
0.500 0.751 0.249
0.500 0.249 0.751
0.000 0.751 0.751
0.000 0.249 0.249
0.500 0.000 0.000


6.
DyHo4S7 (PBE, optimized geometry); DOS at the Fermi energy = 1.4 states/eV/f.u.; total magnetization = 0.00 μB per cell; raw formation energy = -2.070 eV per atom
1.0
-0.501 -3.760 0.011
5.714 1.162 3.257
-8.137 1.108 8.161
Ho S Dy
4 7 1
Direct
0.000 0.000 0.000
0.300 0.600 0.188
0.700 0.400 0.813
0.112 0.224 0.421
0.042 0.084 0.786
0.258 0.516 0.648
0.958 0.917 0.215
0.500 0.000 0.499
0.341 0.682 0.949
0.659 0.319 0.051
0.740 0.481 0.352
0.888 0.776 0.579


7.
Dy3HoS4 (PBE, optimized geometry); DOS at the Fermi energy = 4.4 states/eV/f.u.; total magnetization = 0.00 μB per cell; raw formation energy = -1.978 eV per atom
1.0
5.515 0.000 0.000
0.000 5.515 0.000
0.000 0.000 5.515
Dy S Ho
3 4 1
Direct
0.000 0.500 0.500
0.500 0.000 0.500
0.500 0.500 0.000
0.500 0.500 0.500
0.000 0.500 0.000
0.000 0.000 0.500
0.500 0.000 0.000
0.000 0.000 0.000


8.
Dy2Ho3S8 (PBE, optimized geometry); DOS at the Fermi energy = 6.9 states/eV/f.u.; total magnetization = 0.00 μB per cell; raw formation energy = -1.885 eV per atom
1.0
6.663 0.000 0.167
0.000 7.888 0.000
-2.502 -3.944 6.344
S Ho Dy
8 3 2
Direct
0.911 0.619 0.239
0.089 0.381 0.761
0.414 0.358 0.248
0.414 0.890 0.248
0.586 0.110 0.752
0.928 0.117 0.233
0.586 0.642 0.752
0.072 0.883 0.767
0.000 0.737 0.000
0.000 0.263 0.000
0.500 0.000 0.000
0.342 0.262 0.525
0.658 0.738 0.475


9.
DyHo2S4 (PBE, optimized geometry); DOS at the Fermi energy = 2.1 states/eV/f.u.; total magnetization = 0.00 μB per cell; raw formation energy = -2.049 eV per atom
1.0
-1.582 -3.330 -0.886
6.310 -1.328 1.836
-3.909 -1.442 12.393
S Dy Ho
8 2 4
Direct
0.776 0.552 0.378
0.224 0.448 0.878
0.028 0.056 0.250
0.500 0.000 0.000
0.500 0.000 0.500
0.776 0.552 0.122
0.224 0.448 0.622
0.972 0.944 0.750
0.373 0.746 0.250
0.627 0.254 0.750
0.130 0.259 0.430
0.870 0.741 0.930
0.870 0.741 0.570
0.130 0.259 0.070


10.
DyHo2S4 (PBE, optimized geometry); DOS at the Fermi energy = 2.4 states/eV/f.u.; total magnetization = 0.00 μB per cell; raw formation energy = -2.020 eV per atom
1.0
3.790 0.000 -1.036
-0.661 6.371 -2.415
0.037 -1.065 7.582
Dy S Ho
1 4 2
Direct
0.000 0.000 0.000
0.361 0.725 0.723
0.639 0.275 0.277
0.126 0.811 0.251
0.874 0.189 0.749
0.728 0.735 0.457
0.272 0.265 0.543


11.
DyHoS2 (PBE, optimized geometry); DOS at the Fermi energy = 0.7 states/eV/f.u.; total magnetization = 0.00 μB per cell; raw formation energy = -1.956 eV per atom
1.0
3.815 0.000 0.000
1.908 3.304 0.000
1.908 1.101 6.737
S Dy Ho
2 1 1
Direct
0.252 0.252 0.244
0.081 0.081 0.757
0.494 0.494 0.517
0.673 0.673 0.982


12.
Dy3Ho2S6 (PBE, optimized geometry); DOS at the Fermi energy = 4.0 states/eV/f.u.; total magnetization = 0.00 μB per cell; raw formation energy = -2.071 eV per atom
1.0
-3.750 5.326 -1.794
-2.715 0.299 -6.159
-6.429 -1.160 1.547
Ho Dy S
2 3 6
Direct
0.166 0.669 0.500
0.834 0.331 0.500
0.663 0.674 0.000
0.337 0.326 0.000
0.000 0.000 0.000
0.751 0.000 0.744
0.583 0.334 0.250
0.249 0.000 0.256
0.917 0.666 0.250
0.417 0.666 0.750
0.083 0.334 0.750